DFT (PBE) results for a geometry-optimized Tm3PuP4 structure.

abc: 6.836 7.917 6.861
angles: 90.00 109.51 90.00
Element x y z (fractional)
Tm 0.000 0.124 0.250
Tm 0.000 0.373 0.750
Tm 0.000 0.627 0.250
Tm 0.000 0.876 0.750
Tm 0.500 0.124 0.750
Tm 0.500 0.876 0.250
Pu 0.500 0.373 0.250
Pu 0.500 0.627 0.750
P 0.249 0.125 0.000
P 0.249 0.875 0.500
P 0.252 0.376 0.500
P 0.252 0.624 0.000
P 0.748 0.376 0.000
P 0.748 0.624 0.500
P 0.751 0.125 0.500
P 0.751 0.875 0.000

* energy relative to the lowest polymorph listed for this composition: 0 meV per atom
* crystal system: monoclinic
* V: 350.0 Å³ per cell